# SrPrYMnO6, relaxed, DFT PBE+U
data_SrPrYMnO6
_cell_length_a 8.141
_cell_length_b 8.141
_cell_length_c 8.141
_cell_angle_alpha 90.00
_cell_angle_beta 90.00
_cell_angle_gamma 90.00
_symmetry_space_group_name_H-M 'F -4 3 m'
_symmetry_Int_Tables_number 216
_symmetry_space_group_name_Hall 'F -4 2 3'
loop_
_atom_site_label
_atom_site_fract_x
_atom_site_fract_y
_atom_site_fract_z
_atom_site_occupancy
Sr1 0.000 0.000 0.000 1
Pr1 0.000 0.000 0.500 1
Y1 0.250 0.250 0.250 1
Mn1 0.250 0.250 0.750 1
O1 0.017 0.250 0.750 1
# * V: 13.5 Å³ per atom
# * uncorrected energy: -7.63 eV per atom